No. 1
PaNbI2 (GGA-PBE, relaxed); total DFT energy (no corrections) = -21.57 eV for the cell shown; raw formation energy = 0.275 eV per atom; calculated density = 8.968 Mg/m³
1.0
1.727 0.997 10.356
-1.727 0.997 10.356
0.000 -1.994 10.356
Pa Nb I
1 1 2
direct
0.000 0.000 0.000 Pa
0.500 0.500 0.500 Nb
0.101 0.101 0.101 I
0.899 0.899 0.899 I



No. 2
Nb3PbI (GGA-PBE, relaxed); total DFT energy (no corrections) = -28.05 eV for the cell shown; offset from the most stable computed form = 0 meV/atom; raw formation energy = 1.484 eV per atom; calculated density = 7.924 Mg/m³
1.0
5.045 0.000 0.000
0.000 5.045 0.000
0.000 0.000 5.045
Nb Pb I
3 1 1
direct
0.000 0.000 0.500 Nb
0.000 0.500 0.000 Nb
0.500 0.000 0.000 Nb
0.500 0.500 0.500 Pb
0.000 0.000 0.000 I



No. 3
NbPbI6 (GGA-PBE, relaxed); total DFT energy (no corrections) = -26.64 eV for the cell shown; raw formation energy = -0.445 eV per atom; calculated density = 4.916 Mg/m³
1.0
3.780 -6.617 0.000
3.780 6.617 0.000
-2.241 0.000 7.167
Nb Pb I
1 1 6
direct
0.000 0.000 0.000 Nb
0.500 0.500 0.500 Pb
0.070 0.375 0.222 I
0.227 0.227 0.766 I
0.375 0.070 0.222 I
0.625 0.930 0.778 I
0.773 0.773 0.234 I
0.930 0.625 0.778 I



No. 4
Nb2PbI (GGA-PBE, relaxed); total DFT energy (no corrections) = -42.56 eV for the cell shown; offset from the most stable computed form = 446 meV/atom; raw formation energy = 1.030 eV per atom; calculated density = 8.902 Mg/m³
1.0
-3.956 3.956 3.098
3.956 -3.956 3.098
3.956 3.956 -3.098
Nb Pb I
4 2 2
direct
0.087 0.125 0.462 Nb
0.375 0.913 0.038 Nb
0.663 0.625 0.538 Nb
0.875 0.337 0.962 Nb
0.250 0.750 0.500 Pb
0.500 0.500 0.000 Pb
0.000 0.000 0.000 I
0.750 0.250 0.500 I



No. 5
Nb2PbI (GGA-PBE, relaxed); total DFT energy (no corrections) = -23.06 eV for the cell shown; offset from the most stable computed form = 0 meV/atom; raw formation energy = 0.584 eV per atom; calculated density = 10.225 Mg/m³
1.0
0.000 3.482 3.482
3.482 0.000 3.482
3.482 3.482 0.000
Nb Pb I
2 1 1
direct
0.250 0.250 0.250 Nb
0.750 0.750 0.750 Nb
0.000 0.000 0.000 Pb
0.500 0.500 0.500 I



No. 6
Nb3PbI (GGA-PBE, relaxed); total DFT energy (no corrections) = -25.32 eV for the cell shown; offset from the most stable computed form = 545 meV/atom; raw formation energy = 2.029 eV per atom; calculated density = 7.041 Mg/m³
1.0
5.248 0.000 0.000
0.000 5.248 0.000
0.000 0.000 5.248
Nb Pb I
3 1 1
direct
0.000 0.000 0.500 Nb
0.000 0.500 0.000 Nb
0.500 0.000 0.000 Nb
0.000 0.000 0.000 Pb
0.500 0.500 0.500 I



No. 7
Rb2NbPbI6 (GGA-PBE, relaxed); total DFT energy (no corrections) = -32.56 eV for the cell shown; raw formation energy = -0.755 eV per atom; calculated density = 4.504 Mg/m³
1.0
0.000 6.102 6.102
6.102 0.000 6.102
6.102 6.102 0.000
Rb Nb Pb I
2 1 1 6
direct
0.250 0.250 0.250 Rb
0.750 0.750 0.750 Rb
0.000 0.000 0.000 Nb
0.500 0.500 0.500 Pb
0.239 0.239 0.761 I
0.239 0.761 0.239 I
0.239 0.761 0.761 I
0.761 0.239 0.239 I
0.761 0.239 0.761 I
0.761 0.761 0.239 I



No. 8
NbPbS2I (GGA-PBE, relaxed); total DFT energy (no corrections) = -18.41 eV for the cell shown; raw formation energy = 1.035 eV per atom; calculated density = 5.247 Mg/m³
1.0
5.029 0.000 0.000
0.000 5.029 0.000
0.000 0.000 6.147
Nb Pb S I
1 1 2 1
direct
0.000 0.000 0.000 Nb
0.000 0.000 0.500 Pb
0.000 0.500 0.500 S
0.500 0.000 0.500 S
0.500 0.500 0.000 I



No. 9
NbSbPb2I (GGA-PBE, relaxed); total DFT energy (no corrections) = -19.13 eV for the cell shown; raw formation energy = 0.806 eV per atom; calculated density = 6.373 Mg/m³
1.0
6.075 0.000 0.000
0.000 6.075 0.000
0.000 0.000 5.337
Nb Sb Pb I
1 1 2 1
direct
0.000 0.000 0.000 Nb
0.000 0.000 0.500 Sb
0.000 0.500 0.500 Pb
0.500 0.000 0.500 Pb
0.500 0.500 0.000 I



No. 10
NbSbPbI2 (GGA-PBE, relaxed); total DFT energy (no corrections) = -19.49 eV for the cell shown; offset from the most stable computed form = 0 meV/atom; raw formation energy = 0.302 eV per atom; calculated density = 6.448 Mg/m³
1.0
5.592 0.000 0.000
0.000 5.592 0.000
0.000 0.000 5.564
Nb Sb Pb I
1 1 1 2
direct
0.000 0.000 0.000 Nb
0.000 0.000 0.500 Sb
0.500 0.500 0.500 Pb
0.000 0.500 0.000 I
0.500 0.000 0.000 I



No. 11
NbTe2PbI (GGA-PBE, relaxed); total DFT energy (no corrections) = -21.07 eV for the cell shown; offset from the most stable computed form = 0 meV/atom; raw formation energy = 0.108 eV per atom; calculated density = 6.646 Mg/m³
1.0
5.500 0.000 0.000
0.000 5.500 0.000
0.000 0.000 5.636
Nb Te Pb I
1 2 1 1
direct
0.000 0.000 0.000 Nb
0.000 0.500 0.000 Te
0.500 0.000 0.000 Te
0.500 0.500 0.500 Pb
0.000 0.000 0.500 I



No. 12
Ti2NbPbI (GGA-PBE, relaxed); total DFT energy (no corrections) = -23.62 eV for the cell shown; raw formation energy = 1.500 eV per atom; calculated density = 6.317 Mg/m³
1.0
4.859 0.000 0.000
0.000 4.859 0.000
0.000 0.000 5.821
Ti Nb Pb I
2 1 1 1
direct
0.000 0.500 0.000 Ti
0.500 0.000 0.000 Ti
0.000 0.000 0.500 Nb
0.500 0.500 0.500 Pb
0.500 0.500 0.000 I



No. 13
NbPdI3 (GGA-PBE, relaxed); total DFT energy (no corrections) = -16.45 eV for the cell shown; offset from the most stable computed form = 209 meV/atom; raw formation energy = 0.692 eV per atom; calculated density = 5.961 Mg/m³
1.0
5.447 0.000 0.000
0.000 5.447 0.000
0.000 0.000 5.447
Nb Pd I
1 1 3
direct
0.000 0.000 0.000 Nb
0.500 0.500 0.500 Pd
0.000 0.500 0.500 I
0.500 0.000 0.500 I
0.500 0.500 0.000 I



No. 14
NbPd2I (GGA-PBE, relaxed); total DFT energy (no corrections) = -20.12 eV for the cell shown; offset from the most stable computed form = 196 meV/atom; raw formation energy = 0.472 eV per atom; calculated density = 9.368 Mg/m³
1.0
0.000 3.372 3.372
3.372 0.000 3.372
3.372 3.372 0.000
Nb Pd I
1 2 1
direct
0.000 0.000 0.000 Nb
0.250 0.250 0.250 Pd
0.750 0.750 0.750 Pd
0.500 0.500 0.500 I



No. 15
NbPd2I (GGA-PBE, relaxed); total DFT energy (no corrections) = -41.80 eV for the cell shown; offset from the most stable computed form = 0 meV/atom; raw formation energy = 0.277 eV per atom; calculated density = 9.119 Mg/m³
1.0
-3.758 3.758 2.789
3.758 -3.758 2.789
3.758 3.758 -2.789
Nb Pd I
2 4 2
direct
0.000 0.000 0.000 Nb
0.750 0.250 0.500 Nb
0.119 0.125 0.494 Pd
0.375 0.881 0.006 Pd
0.631 0.625 0.506 Pd
0.875 0.369 0.994 Pd
0.250 0.750 0.500 I
0.500 0.500 0.000 I



No. 16
NbPdI3 (GGA-PBE, relaxed); total DFT energy (no corrections) = -17.50 eV for the cell shown; offset from the most stable computed form = 0 meV/atom; raw formation energy = 0.483 eV per atom; calculated density = 5.647 Mg/m³
1.0
5.546 0.000 0.000
0.000 5.546 0.000
0.000 0.000 5.546
Nb Pd I
1 1 3
direct
0.000 0.000 0.000 Nb
0.500 0.500 0.500 Pd
0.000 0.000 0.500 I
0.000 0.500 0.000 I
0.500 0.000 0.000 I



No. 17
NbPd2I8 (GGA-PBE, relaxed); total DFT energy (no corrections) = -34.87 eV for the cell shown; raw formation energy = -0.183 eV per atom; calculated density = 4.426 Mg/m³
1.0
5.681 -5.539 0.000
5.681 5.539 0.000
-1.810 0.000 7.874
Nb Pd I
1 2 8
direct
0.000 0.000 0.000 Nb
0.119 0.119 0.383 Pd
0.881 0.881 0.617 Pd
0.026 0.663 0.844 I
0.128 0.128 0.729 I
0.337 0.974 0.156 I
0.361 0.361 0.509 I
0.639 0.639 0.491 I
0.663 0.026 0.844 I
0.872 0.872 0.271 I
0.974 0.337 0.156 I



No. 18
Rb2NbPdI6 (GGA-PBE, relaxed); total DFT energy (no corrections) = -33.24 eV for the cell shown; raw formation energy = -0.674 eV per atom; calculated density = 4.819 Mg/m³
1.0
-4.043 4.043 5.965
4.043 -4.043 5.965
4.043 4.043 -5.965
Rb Nb Pd I
2 1 1 6
direct
0.250 0.750 0.500 Rb
0.750 0.250 0.500 Rb
0.000 0.000 0.000 Nb
0.500 0.500 0.000 Pd
0.240 0.240 0.000 I
0.250 0.250 0.500 I
0.250 0.750 0.000 I
0.750 0.250 0.000 I
0.750 0.750 0.500 I
0.760 0.760 0.000 I



No. 19
RbNbPdI2 (GGA-PBE, relaxed); total DFT energy (no corrections) = -11.95 eV for the cell shown; raw formation energy = 1.476 eV per atom; calculated density = 3.548 Mg/m³
1.0
6.513 0.000 0.000
0.000 6.513 0.000
0.000 0.000 5.942
Rb Nb Pd I
1 1 1 2
direct
0.000 0.000 0.000 Rb
0.000 0.000 0.500 Nb
0.500 0.500 0.500 Pd
0.000 0.500 0.000 I
0.500 0.000 0.000 I



No. 20
Nb2RePdI (GGA-PBE, relaxed); total DFT energy (no corrections) = -29.06 eV for the cell shown; raw formation energy = 2.055 eV per atom; calculated density = 8.241 Mg/m³
1.0
4.902 0.000 0.000
0.000 4.902 0.000
0.000 0.000 5.077
Nb Re Pd I
2 1 1 1
direct
0.000 0.500 0.000 Nb
0.500 0.000 0.000 Nb
0.000 0.000 0.500 Re
0.500 0.500 0.000 Pd
0.500 0.500 0.500 I



No. 21
NbTePdRuI (GGA-PBE, relaxed); total DFT energy (no corrections) = -28.65 eV for the cell shown; offset from the most stable computed form = 281 meV/atom; raw formation energy = 0.116 eV per atom; calculated density = 7.810 Mg/m³
1.0
4.525 -1.965 0.000
4.525 1.965 0.000
-3.171 0.000 6.635
Nb Te Pd Ru I
1 1 1 1 1
direct
0.000 0.000 0.000 Nb
0.661 0.661 0.856 Te
0.376 0.376 0.161 Pd
0.957 0.957 0.663 Ru
0.235 0.235 0.443 I



No. 22
NbTePdRuI (GGA-PBE, relaxed); total DFT energy (no corrections) = -29.57 eV for the cell shown; offset from the most stable computed form = 97 meV/atom; raw formation energy = -0.068 eV per atom; calculated density = 6.619 Mg/m³
1.0
3.946 -2.104 0.000
3.946 2.104 0.000
-1.296 0.000 8.383
Nb Te Pd Ru I
1 1 1 1 1
direct
0.000 0.000 0.000 Nb
0.612 0.612 0.710 Te
0.307 0.307 0.833 Pd
0.663 0.663 0.025 Ru
0.881 0.881 0.294 I



No. 23
NbTePdRuI (GGA-PBE, relaxed); total DFT energy (no corrections) = -29.89 eV for the cell shown; offset from the most stable computed form = 32 meV/atom; raw formation energy = -0.133 eV per atom; calculated density = 6.762 Mg/m³
1.0
4.189 0.000 0.000
2.094 4.279 0.000
0.031 2.066 7.602
Nb Te Pd Ru I
1 1 1 1 1
direct
0.000 0.000 0.000 Nb
0.331 0.341 0.765 Te
0.649 0.704 0.884 Pd
0.290 0.418 0.094 Ru
0.908 0.180 0.315 I



No. 24
NbTePdRuI (GGA-PBE, relaxed); total DFT energy (no corrections) = -29.55 eV for the cell shown; offset from the most stable computed form = 101 meV/atom; raw formation energy = -0.064 eV per atom; calculated density = 7.741 Mg/m³
1.0
3.729 0.000 0.000
0.277 4.402 0.000
0.214 1.286 7.252
Nb Te Pd Ru I
1 1 1 1 1
direct
0.000 0.000 0.000 Nb
0.049 0.420 0.305 Te
0.488 0.889 0.293 Pd
0.586 0.415 0.041 Ru
0.547 0.836 0.726 I



No. 25
NbTePdRuI (GGA-PBE, relaxed); total DFT energy (no corrections) = -29.26 eV for the cell shown; offset from the most stable computed form = 160 meV/atom; raw formation energy = -0.005 eV per atom; calculated density = 7.195 Mg/m³
1.0
4.161 0.000 0.000
2.079 3.607 0.000
2.045 0.880 8.533
Nb Te Pd Ru I
1 1 1 1 1
direct
0.000 0.000 0.000 Nb
0.783 0.744 0.687 Te
0.409 0.384 0.797 Pd
0.294 0.307 0.106 Ru
0.567 0.601 0.269 I



No. 26
NbTePdRuI (GGA-PBE, relaxed); total DFT energy (no corrections) = -30.06 eV for the cell shown; offset from the most stable computed form = 0 meV/atom; raw formation energy = -0.165 eV per atom; calculated density = 7.044 Mg/m³
1.0
3.703 -2.137 0.000
3.703 2.137 0.000
-0.071 0.000 8.264
Nb Te Pd Ru I
1 1 1 1 1
direct
0.000 0.000 0.000 Nb
0.664 0.664 0.772 Te
0.335 0.335 0.183 Pd
0.332 0.332 0.867 Ru
0.003 0.003 0.341 I



No. 27
NbTePdRuI (GGA-PBE, relaxed); total DFT energy (no corrections) = -29.53 eV for the cell shown; offset from the most stable computed form = 106 meV/atom; raw formation energy = -0.059 eV per atom; calculated density = 6.865 Mg/m³
1.0
4.561 0.000 0.000
0.000 3.685 0.000
-2.266 0.000 7.985
Nb Te Pd Ru I
1 1 1 1 1
direct
0.000 0.000 0.000 Nb
0.614 0.000 0.230 Te
0.495 0.500 0.989 Pd
0.899 0.500 0.797 Ru
0.314 0.500 0.625 I



Number 1: N(E_F) 1.43 states/eV per atom. Number 2: N(E_F) 0.81 states/eV per atom. Number 3: N(E_F) 0.60 states/eV per atom. Number 4: N(E_F) 1.31 states/eV per atom. Number 5: N(E_F) 0.83 states/eV per atom. Number 6: N(E_F) 2.66 states/eV per atom. Number 7: N(E_F) 0.00 states/eV per atom. Number 8: N(E_F) 1.16 states/eV per atom. Number 9: N(E_F) 1.05 states/eV per atom. Number 10: N(E_F) 1.02 states/eV per atom. Number 11: N(E_F) 0.91 states/eV per atom. Number 12: N(E_F) 1.42 states/eV per atom. Number 13: N(E_F) 1.18 states/eV per atom. Number 14: N(E_F) 1.08 states/eV per atom. Number 15: N(E_F) 0.14 states/eV per atom. Number 16: N(E_F) 0.82 states/eV per atom. Number 17: N(E_F) 0.40 states/eV per atom. Number 18: N(E_F) 0.83 states/eV per atom. Number 19: N(E_F) 2.83 states/eV per atom. Number 20: N(E_F) 1.03 states/eV per atom. Number 21: N(E_F) 0.18 states/eV per atom. Number 22: N(E_F) 0.30 states/eV per atom. Number 23: N(E_F) 0.35 states/eV per atom. Number 24: N(E_F) 0.71 states/eV per atom. Number 25: N(E_F) 0.64 states/eV per atom. Number 26: N(E_F) 0.37 states/eV per atom. Number 27: N(E_F) 0.53 states/eV per atom.